First-principles (GGA+U) data for a geometry-optimized Li2SiNiO4 structure, as listed in the Alexandria database.

Cell and atoms, written as POSCAR:
```
Li2SiNiO4
1.0
-2.1217 -4.9744 0.6071
3.2076 -0.6114 4.0416
-4.3463 2.3102 3.7976
Li Si Ni O
4 2 2 8
Direct
0.1655 0.1934 0.7518
0.3134 0.6888 0.5002
0.6864 0.3116 0.0008
0.8341 0.8069 0.2521
0.1775 0.1790 0.2510
0.8221 0.8213 0.7513
0.3321 0.6891 0.9908
0.6674 0.3110 0.4915
0.1224 0.7868 0.7521
0.2074 0.8635 0.2455
0.3096 0.3082 0.0346
0.3006 0.3049 0.4720
0.6990 0.6957 0.9726
0.6899 0.6920 0.5352
0.7925 0.1368 0.7458
0.8773 0.2134 0.2525
```

Output
Calculated density: 3.11 g/cm3
VASP energy: -97.52 eV/cell